Density functional theory data (SCAN) for a crystal of CsCoPO4 relaxed with PBEsol.

Cell and atoms, written as POSCAR:
```
CsCoPO4
1.0
5.356 0.000 0.000
0.000 9.321 0.000
0.000 0.000 9.306
O Co P Cs
16 4 4 4
Direct
0.826 0.236 0.957 O
0.396 0.227 0.722 O
0.896 0.273 0.222 O
0.826 0.736 0.543 O
0.992 0.033 0.114 O
0.492 0.967 0.886 O
0.326 0.264 0.457 O
0.992 0.533 0.386 O
0.766 0.252 0.554 O
0.266 0.748 0.446 O
0.266 0.248 0.054 O
0.326 0.764 0.043 O
0.492 0.467 0.614 O
0.896 0.773 0.278 O
0.396 0.727 0.778 O
0.766 0.752 0.946 O
0.993 0.829 0.086 Co
0.993 0.329 0.414 Co
0.493 0.671 0.586 Co
0.493 0.171 0.914 Co
0.995 0.195 0.087 P
0.495 0.305 0.587 P
0.495 0.805 0.913 P
0.995 0.695 0.413 P
0.999 0.494 0.793 Cs
0.499 0.506 0.207 Cs
0.999 0.994 0.707 Cs
0.499 0.006 0.293 Cs
```

Calculated values
- Energy relative to the elements, uncorrected: -15.445 eV per formula unit
- Symmetry: Pna2_1 (33)
- Total moment: 12.00 μB per cell